A geometry-optimized MgN structure. Source: Alexandria via LeMat-Bulk, functional PBE-GGA.

Structure (CIF):
```
data_MgN
_cell_length_a 7.328
_cell_length_b 7.328
_cell_length_c 4.318
_cell_angle_alpha 90.00
_cell_angle_beta 90.00
_cell_angle_gamma 90.00
_space_group_name_H-M_alt 'I 4/m c m'
_space_group_IT_number 140
_space_group_name_Hall '-I 4 2c'
loop_
_atom_site_label
_atom_site_fract_x
_atom_site_fract_y
_atom_site_fract_z
Mg1 0.148 0.352 0.000
N1 0.149 0.351 0.500
```

Values from the calculation:
calculated volume = 231.9 Å³/cell
E_tot = -79.4 eV/cell
total moment = 0.504 μB per atom
formation energy from raw total energies = -1 meV per atom